# HfNbZn3 | the Alexandria database | PBE-GGA | relaxed
data_HfNbZn3
_chemical_formula_sum 'Hf1 Nb1 Zn3'
_cell_length_a 4.882
_cell_length_b 4.882
_cell_length_c 4.882
_cell_angle_alpha 90.00
_cell_angle_beta 90.00
_cell_angle_gamma 90.00
_symmetry_space_group_name_H-M 'P 1'
_symmetry_Int_Tables_number 1
_symmetry_space_group_name_Hall 'P 1'
loop_
_atom_site_label
_atom_site_fract_x
_atom_site_fract_y
_atom_site_fract_z
Nb1 0.500 0.500 0.500
Zn1 0.000 0.000 0.500
Zn2 0.500 0.000 0.000
Zn3 0.000 0.500 0.000
Hf1 0.000 0.000 0.000
# SG: Pm-3m, No. 221
# calculated volume: 116.4 Å³ per cell
# offset from the most stable computed form: 0.410 eV/atom
# energy relative to the elements: 1467 meV per atom